Entry 1:
Density functional theory data (PBE) for a relaxed structure of BiMoOsPt2.

## Properties
Calculated total energy = -0.3810 Ry per atom
Energy of formation = 2421 meV/atom
Energy above the most stable polymorph in this dataset = 570 meV/atom

Cell and atoms, written as POSCAR:
```
BiMoOsPt2
1.0
4.932 0.000 0.000
0.000 5.120 0.000
0.000 0.000 4.932
Bi Os Pt Mo
1 1 2 1
Cartesian
0.000 0.000 0.000
2.466 2.560 2.466
0.000 0.000 2.466
2.466 0.000 0.000
0.000 2.560 0.000
```

Entry 2:
Density functional theory data (PBE) for a relaxed structure of BiMo2OsRh.

## Properties
Calculated total energy = -0.4463 Ry per atom
Energy of formation = 2752 meV/atom

Cell and atoms, written as POSCAR:
```
BiMo2OsRh
1.0
-2.378 3.842 2.095
-2.897 0.261 -3.767
-3.156 -3.158 2.209
Mo Rh Bi Os
2 1 1 1
Cartesian
-1.578 -1.579 1.104
-1.189 1.921 1.048
-1.449 0.130 -1.884
0.000 0.000 0.000
-4.216 0.473 0.268
```

Entry 3:
Density functional theory data (PBE) for a relaxed structure of BiMoOsRu2.

## Properties
Calculated total energy = -0.5425 Ry per atom
Energy of formation = 1517 meV/atom

Cell and atoms, written as POSCAR:
```
BiMoOsRu2
1.0
4.704 0.000 0.000
0.000 4.761 0.000
0.000 0.000 4.704
Ru Bi Mo Os
2 1 1 1
Cartesian
2.352 0.000 0.000
0.000 0.000 2.352
2.352 2.380 2.352
0.000 0.000 0.000
0.000 2.380 0.000
```